VASP calculation (PBE-GGA) on a geometry-optimized KPmMg2Br8 structure. Values from VASP.

Calculated values
Raw formation energy: -1.57 eV per atom
Space group: P-1
D(E_F): 0.00 states/eV per atom
E: -0.2531 Ry per atom
Spin magnetization: 0.00 Bohr magnetons per cell
Crystal system: triclinic

```
&SYSTEM
  ibrav = 0, nat = 12, ntyp = 4
/
ATOMIC_SPECIES
K 39.10 K.upf
Pm 145.00 Pm.upf
Mg 24.30 Mg.upf
Br 79.90 Br.upf
ATOMIC_POSITIONS crystal
K 0.000 0.000 0.000
Pm 0.000 0.000 0.500
Mg 0.500 0.500 0.238
Mg 0.500 0.500 0.762
Br 0.256 0.815 0.728
Br 0.257 0.815 0.272
Br 0.275 0.336 0.500
Br 0.285 0.362 0.000
Br 0.715 0.638 0.000
Br 0.725 0.664 0.500
Br 0.743 0.185 0.728
Br 0.744 0.185 0.272
CELL_PARAMETERS angstrom
6.615 0.000 0.000
0.134 6.904 0.000
0.012 0.010 8.542
```